No. 1
Compound: KRb2PdF
Source: Alexandria via LeMat-Bulk
Functional: GGA-PBE
Structure: optimized geometry

Properties
Its formation energy without anion corrections is -1000.4 meV per atom. Its final energy is -3.020 eV per atom.

a = 5.520 Å, b = 5.520 Å, c = 5.257 Å
α = 90.00°, β = 90.00°, γ = 90.00°
Space group P4/mmm (No. 123)
Unique sites:
K: 0.000 0.000 0.000
Rb: 0.000 0.500 0.500
Pd: 0.500 0.500 0.000
F: 0.000 0.000 0.500

No. 2
Compound: K2RbPdF
Source: Alexandria via LeMat-Bulk
Functional: GGA-PBE
Structure: optimized geometry

Properties
Its formation energy without anion corrections is -1016.3 meV per atom. Its final energy is -3.062 eV per atom.

a = 5.270 Å, b = 5.270 Å, c = 5.492 Å
α = 90.00°, β = 90.00°, γ = 90.00°
Space group P4/mmm (No. 123)
Unique sites:
K: 0.000 0.500 0.000
Rb: 0.000 0.000 0.500
Pd: 0.500 0.500 0.500
F: 0.000 0.000 0.000

- Which value of final energy does entry 2 give?
  -3.062 eV per atom

- Which of these has the lowest final energy?
  K2RbPdF

- Among the records above, which one has the highest final energy?
  KRb2PdF